1.
ScCoSb2 after structural relaxation, computed with PBEsol.

Structure (extended XYZ):
```
4
Lattice="-2.320 2.320 3.576 2.320 -2.320 3.576 2.320 2.320 -3.576" Properties=species:S:1:pos:R:3 pbc="T T T"
Sc 0.000 0.000 0.000
Co 0.000 0.000 3.576
Sb 2.320 0.000 1.788
Sb 0.000 2.320 1.788
```

Calculated values
SG: No. 139
Crystal system: tetragonal
Fermi-level density of states (states/eV per cell): 4.2
Total DFT energy (no corrections) (eV/atom): -5.94


2.
In3GaO after structural relaxation, computed with PBEsol.

Structure (extended XYZ):
```
5
Lattice="4.734 0.000 0.000 0.000 4.734 0.000 0.000 0.000 4.734" Properties=species:S:1:pos:R:3 pbc="T T T"
In 0.000 0.000 2.367
In 0.000 2.367 0.000
In 2.367 0.000 0.000
Ga 2.367 2.367 2.367
O 0.000 0.000 0.000
```

Calculated values
SG: No. 221
Crystal system: cubic
Fermi-level density of states (states/eV per cell): 3.0
Total DFT energy (no corrections) (eV/atom): -3.65


3.
Rb2AgAu3I8 after structural relaxation, computed with PBEsol.

Structure (extended XYZ):
```
28
Lattice="6.572 -3.767 0.000 6.572 3.767 0.000 -5.102 0.000 20.015" Properties=species:S:1:pos:R:3 pbc="T T T"
Rb 2.273 0.127 1.793
Rb -0.278 -0.127 11.800
Rb 8.319 0.127 8.215
Rb 5.768 -0.127 18.223
Ag 5.296 0.084 5.004
Ag 2.745 -0.084 15.012
Au -2.866 0.045 16.110
Au -0.315 -0.045 6.103
Au 6.572 0.000 0.000
Au 4.021 0.000 10.008
Au 8.356 0.045 13.913
Au 10.907 -0.045 3.905
I 3.043 1.751 4.988
I 5.560 2.064 1.328
I 2.939 1.748 12.872
I 1.790 0.184 8.523
I 5.033 2.064 8.680
I 2.551 1.748 17.151
I -0.761 -0.184 18.531
I 7.550 1.751 5.019
I 0.491 -1.751 14.996
I 8.802 0.184 1.485
I 5.490 -1.748 2.864
I 3.008 -2.064 11.335
I 6.251 -0.184 11.492
I 5.102 -1.748 7.144
I 2.482 -2.064 18.688
I 4.999 -1.751 15.027
```

Calculated values
SG: No. 15
Crystal system: monoclinic
Total DFT energy (no corrections) (eV/atom): -2.72


4.
KAlSb4 after structural relaxation, computed with PBEsol.

Structure (extended XYZ):
```
24
Lattice="10.241 0.000 0.000 0.000 4.222 0.000 0.000 0.000 17.895" Properties=species:S:1:pos:R:3 pbc="T T T"
K 1.790 1.055 1.173
K 3.330 3.166 10.120
K 6.910 1.055 7.775
K 8.451 3.166 16.722
Al 1.854 3.166 6.595
Al 3.266 1.055 15.543
Al 6.975 3.166 2.352
Al 8.386 1.055 11.300
Sb 0.412 1.055 9.832
Sb 0.715 3.166 13.460
Sb 1.203 3.166 4.001
Sb 1.731 3.166 16.126
Sb 3.389 1.055 7.179
Sb 3.918 1.055 12.948
Sb 4.405 1.055 4.513
Sb 4.708 3.166 0.884
Sb 5.532 1.055 17.010
Sb 5.835 3.166 13.382
Sb 6.323 3.166 4.946
Sb 6.851 3.166 10.716
Sb 8.509 1.055 1.768
Sb 9.038 1.055 13.894
Sb 9.526 1.055 4.434
Sb 9.828 3.166 8.063
```

Calculated values
SG: No. 62
Crystal system: orthorhombic
Fermi-level density of states (states/eV per cell): 0.1
Total DFT energy (no corrections) (eV/atom): -4.10


5.
Fe3PbN after structural relaxation, computed with PBEsol.

Structure (extended XYZ):
```
5
Lattice="4.974 0.000 0.000 0.000 4.974 0.000 0.000 0.000 4.974" Properties=species:S:1:pos:R:3 pbc="T T T"
Fe 0.000 0.000 2.487
Fe 0.000 2.487 0.000
Fe 2.487 0.000 0.000
Pb 0.000 0.000 0.000
N 2.487 2.487 2.487
```

Calculated values
SG: No. 221
Crystal system: cubic
Fermi-level density of states (states/eV per cell): 11.4
Total DFT energy (no corrections) (eV/atom): -5.05


6.
RbAl2Te2 after structural relaxation, computed with PBEsol.

Structure (extended XYZ):
```
5
Lattice="-2.646 2.646 6.143 2.646 -2.646 6.143 2.646 2.646 -6.143" Properties=species:S:1:pos:R:3 pbc="T T T"
Rb 0.000 0.000 0.000
Al 2.646 0.000 3.071
Al 0.000 2.646 3.071
Te 0.000 0.000 4.107
Te 0.000 0.000 8.178
```

Calculated values
SG: No. 139
Crystal system: tetragonal
Fermi-level density of states (states/eV per cell): 1.2
Total DFT energy (no corrections) (eV/atom): -3.45


Question: Look up the total DFT energy (no corrections) of the sixth one.
Answer: -3.45 eV/atom


Question: What is the total DFT energy (no corrections) in the first record?
Answer: -5.94 eV/atom


Question: total DFT energy (no corrections) of number 5 (Fe3PbN)?
Answer: -5.05 eV/atom


Question: Which of these has the highest total DFT energy (no corrections)?
Answer: Rb2AgAu3I8